# GGA-PBEsol Y2MgP, optimized geometry
# - theoretical density (g/cm3) = 4.421
# - M_tot (μB per cell) = 0.0
# - energy of formation (kJ/mol of formula units) = -200
# - DOS at the Fermi energy (states/eV/atom) = 0.60
# - energy above the lowest structure with this stoichiometry (meV/atom) = 276.4
data_Y2MgP
_symmetry_space_group_name_H-M 'P 4/m m m'
_symmetry_Int_Tables_number 123
_symmetry_space_group_name_Hall '-P 4 2'
_cell_length_a 4.8113
_cell_length_b 4.8113
_cell_length_c 3.7821
_cell_angle_alpha 90.00
_cell_angle_beta 90.00
_cell_angle_gamma 90.00
loop_
_atom_site_label
_atom_site_type_symbol
_atom_site_fract_x
_atom_site_fract_y
_atom_site_fract_z
Y1 Y 0.0000 0.5000 0.0000
Mg1 Mg 0.0000 0.0000 0.5000
P1 P 0.5000 0.5000 0.5000

---

# GGA-PBEsol RbCd3Si, optimized geometry
# - uncorrected formation energy (eV per atom) = 1.372
# - theoretical density (g/cm3) = 2.846
# - M_tot (μB per cell) = 2.8
# - DOS at the Fermi energy (states/eV/atom) = 0.71
data_RbCd3Si
_symmetry_space_group_name_H-M 'P m -3 m'
_symmetry_Int_Tables_number 221
_symmetry_space_group_name_Hall '-P 4 2 3'
_cell_length_a 6.4070
_cell_length_b 6.4070
_cell_length_c 6.4070
_cell_angle_alpha 90.00
_cell_angle_beta 90.00
_cell_angle_gamma 90.00
loop_
_atom_site_label
_atom_site_type_symbol
_atom_site_fract_x
_atom_site_fract_y
_atom_site_fract_z
Rb1 Rb 0.0000 0.0000 0.0000
Cd1 Cd 0.0000 0.0000 0.5000
Si1 Si 0.5000 0.5000 0.5000

---

# GGA-PBEsol Ba2YZnCl, optimized geometry
# - uncorrected formation energy (eV per atom) = 0.175
# - theoretical density (g/cm3) = 3.729
# - M_tot (μB per cell) = 0.0
# - DOS at the Fermi energy (states/eV/atom) = 1.01
data_Ba2YZnCl
_symmetry_space_group_name_H-M 'P 4/m m m'
_symmetry_Int_Tables_number 123
_symmetry_space_group_name_Hall '-P 4 2'
_cell_length_a 6.4544
_cell_length_b 6.4544
_cell_length_c 4.9649
_cell_angle_alpha 90.00
_cell_angle_beta 90.00
_cell_angle_gamma 90.00
loop_
_atom_site_label
_atom_site_type_symbol
_atom_site_fract_x
_atom_site_fract_y
_atom_site_fract_z
Ba1 Ba 0.0000 0.5000 0.0000
Y1 Y 0.0000 0.0000 0.5000
Zn1 Zn 0.5000 0.5000 0.0000
Cl1 Cl 0.5000 0.5000 0.5000

---

# GGA-PBEsol Li2RhAu, optimized geometry
# - theoretical density (g/cm3) = 9.441
# - M_tot (μB per cell) = 0.0
# - energy of formation (kJ/mol of formula units) = -81
# - DOS at the Fermi energy (states/eV/atom) = 0.80
data_Li2RhAu
_symmetry_space_group_name_H-M 'P 4/m m m'
_symmetry_Int_Tables_number 123
_symmetry_space_group_name_Hall '-P 4 2'
_cell_length_a 2.6769
_cell_length_b 2.6769
_cell_length_c 7.7009
_cell_angle_alpha 90.00
_cell_angle_beta 90.00
_cell_angle_gamma 90.00
loop_
_atom_site_label
_atom_site_type_symbol
_atom_site_fract_x
_atom_site_fract_y
_atom_site_fract_z
Li1 Li 0.0000 0.0000 0.2420
Rh1 Rh 0.5000 0.5000 0.0000
Au1 Au 0.5000 0.5000 0.5000

---

# GGA-PBEsol BaTaCd, optimized geometry
# - theoretical density (g/cm3) = 7.414
# - M_tot (μB per cell) = 11.7
# - energy of formation (kJ/mol of formula units) = 390
# - DOS at the Fermi energy (states/eV/atom) = 1.65
# - energy above the lowest structure with this stoichiometry (meV/atom) = 732.6
data_BaTaCd
_symmetry_space_group_name_H-M 'F -4 3 m'
_symmetry_Int_Tables_number 216
_symmetry_space_group_name_Hall 'F -4 2 3'
_cell_length_a 7.2802
_cell_length_b 7.2802
_cell_length_c 7.2802
_cell_angle_alpha 90.00
_cell_angle_beta 90.00
_cell_angle_gamma 90.00
loop_
_atom_site_label
_atom_site_type_symbol
_atom_site_fract_x
_atom_site_fract_y
_atom_site_fract_z
Ba1 Ba 0.0000 0.0000 0.0000
Ta1 Ta 0.0000 0.0000 0.5000
Cd1 Cd 0.2500 0.2500 0.2500

---

# GGA-PBEsol LiAu, optimized geometry
# - theoretical density (g/cm3) = 11.205
# - M_tot (μB per cell) = 0.0
# - energy of formation (kJ/mol of formula units) = -90
# - DOS at the Fermi energy (states/eV/atom) = 0.27
data_LiAu
_symmetry_space_group_name_H-M 'C 1 2/m 1'
_symmetry_Int_Tables_number 12
_cell_length_a 9.3696
_cell_length_b 2.7524
_cell_length_c 4.7281
_cell_angle_alpha 90.00
_cell_angle_beta 97.56
_cell_angle_gamma 90.00
loop_
_symmetry_equiv_pos_as_xyz
'x,y,z'
'-x,-y,-z'
'-x,y,-z'
'x,-y,z'
'x+1/2,y+1/2,z'
'-x+1/2,-y+1/2,-z'
'-x+1/2,y+1/2,-z'
'x+1/2,-y+1/2,z'
loop_
_atom_site_label
_atom_site_type_symbol
_atom_site_fract_x
_atom_site_fract_y
_atom_site_fract_z
Li1 Li 0.1151 0.0000 0.3430
Au1 Au 0.1262 0.5000 0.8414

---

# GGA-PBEsol KSi, optimized geometry
# - uncorrected formation energy (eV per atom) = 0.737
# - theoretical density (g/cm3) = 2.018
# - M_tot (μB per cell) = 0.0
# - DOS at the Fermi energy (states/eV/atom) = 0.74
# - energy above the lowest structure with this stoichiometry (meV/atom) = 801.4
data_KSi
_symmetry_space_group_name_H-M 'P m -3 m'
_symmetry_Int_Tables_number 221
_symmetry_space_group_name_Hall '-P 4 2 3'
_cell_length_a 3.8096
_cell_length_b 3.8096
_cell_length_c 3.8096
_cell_angle_alpha 90.00
_cell_angle_beta 90.00
_cell_angle_gamma 90.00
loop_
_atom_site_label
_atom_site_type_symbol
_atom_site_fract_x
_atom_site_fract_y
_atom_site_fract_z
K1 K 0.0000 0.0000 0.0000
Si1 Si 0.5000 0.5000 0.5000

---

# GGA-PBEsol Ba2CaP, optimized geometry
# - theoretical density (g/cm3) = 3.829
# - M_tot (μB per cell) = 0.0
# - energy of formation (kJ/mol of formula units) = -188
# - DOS at the Fermi energy (states/eV/atom) = 1.07
data_Ba2CaP
_symmetry_space_group_name_H-M 'P 4 m m'
_symmetry_Int_Tables_number 99
_cell_length_a 3.8534
_cell_length_b 3.8534
_cell_length_c 10.0964
_cell_angle_alpha 90.00
_cell_angle_beta 90.00
_cell_angle_gamma 90.00
loop_
_symmetry_equiv_pos_as_xyz
'x,y,z'
'-y,x,z'
'-x,-y,z'
'y,-x,z'
'-x,y,z'
'y,x,z'
'x,-y,z'
'-y,-x,z'
loop_
_atom_site_label
_atom_site_type_symbol
_atom_site_fract_x
_atom_site_fract_y
_atom_site_fract_z
Ba1 Ba 0.0000 0.0000 0.0000
Ba2 Ba 0.5000 0.5000 0.3738
Ca1 Ca 0.0000 0.0000 0.6928
P1 P 0.5000 0.5000 0.8190